CsMnO2: relaxed, PBE with a Hubbard U.

Cell: 7.7789 3.5282 7.8077 Å, 76.92 56.74 103.09°
Each line ends with the local moment (μB).
Atoms (fractional coordinates):
Cs: 0.7558 0.4507 0.6936  0.01
Mn: 0.4896 0.4508 0.4259  4.04
O: 0.5502 0.9508 0.4863  -0.11
O: 0.1718 0.2318 0.5464  -0.11
O: 0.2312 0.9507 0.1692  -0.11
Mn: 0.2919 0.4507 0.2295  4.04
O: 0.6099 0.6697 0.1092  -0.11
Cs: 0.0260 0.4510 0.9619  0.01

Summary:
- final energy (eV per atom) = -5.90
- total magnetization (μB/cell) = 8.00
- space-group type = C2/m, No. 12
- crystal system = monoclinic
- theoretical density (g/cm3) = 4.6
- volume (Å³/atom) = 19.7

CsMnO4: relaxed, PBE with a Hubbard U.

Cell: 5.9781 8.1329 10.2206 Å, 90.00 90.00 90.00°
Atoms (fractional coordinates):
O: 0.2500 0.3526 0.1008
O: 0.5290 0.8159 0.0785
Mn: 0.7500 0.7056 0.0505
O: 0.2500 0.1474 0.6008
O: 0.7500 0.9518 0.6472
Mn: 0.2500 0.2056 0.4495
O: 0.9710 0.6841 0.5785
Cs: 0.2500 0.8456 0.8109
O: 0.7500 0.6474 0.8992
O: 0.7500 0.8526 0.3992
O: 0.9710 0.8159 0.0785
O: 0.2500 0.4518 0.8528
O: 0.0290 0.1841 0.9215
O: 0.5290 0.6841 0.5785
O: 0.4710 0.3159 0.4215
O: 0.0290 0.3159 0.4215
O: 0.2500 0.0482 0.3528
O: 0.7500 0.5482 0.1472
Mn: 0.2500 0.2944 0.9495
O: 0.4710 0.1841 0.9215
Cs: 0.2500 0.6544 0.3109
Mn: 0.7500 0.7944 0.5505
Cs: 0.7500 0.1544 0.1891
Cs: 0.7500 0.3456 0.6891

Summary:
- final energy (eV per atom) = -5.73
- total magnetization (μB/cell) = 0.34
- space-group type = Pnma, No. 62
- crystal system = orthorhombic
- theoretical density (g/cm3) = 3.4
- volume (Å³/atom) = 20.7

CsMn4O8: relaxed, PBE with a Hubbard U.

Cell: 5.8809 5.8809 8.0816 Å, 68.50 68.50 61.17°
Each line ends with the local moment (μB).
Atoms (fractional coordinates):
O: 0.7894 0.7894 0.1298  -0.15
O: 0.2253 0.6923 0.8629  -0.07
O: 0.7747 0.3077 0.1371  -0.07
O: 0.6923 0.2253 0.8629  -0.07
O: 0.3077 0.7747 0.1371  -0.07
O: 0.2106 0.2106 0.8702  -0.15
Mn: 0.5000 0.0000 0.0000  3.31
Mn: 0.0000 0.0000 0.0000  3.90
Cs: 0.5000 0.5000 0.5000  0.00
Mn: 0.0000 0.5000 0.0000  3.31
O: 0.7141 0.7141 0.8645  -0.17
O: 0.2859 0.2859 0.1355  -0.17
Mn: 0.5000 0.5000 0.0000  3.27

Summary:
- final energy (eV per atom) = -6.92
- total magnetization (μB/cell) = 13.00
- space-group type = C2/m, No. 12
- crystal system = monoclinic
- theoretical density (g/cm3) = 3.6
- volume (Å³/atom) = 17.0